1.
The following is a GGA-PBE calculation of a relaxed RbTcAsO crystal, from the Open Quantum Materials Database.

The space group is Pmc2_1 (No. 26) and the conventional cell measures 3.5982, 8.3054 and 6.6364 Å, with angles of 90.00, 90.00 and 90.00 degrees. Symmetry generates all atoms from Rb at (0.0000, 0.1934, 0.0000), Tc at (0.5000, 0.4136, 0.5696), As at (0.0000, 0.2292, 0.5001) and O at (0.5000, 0.4313, 0.8575).

The value obtained for the electronic total energy is -46.79 eV per cell. The relative energy among the computed polymorphs is 0 meV per atom. The calculated density is 4.59 g/cm3. The calculation puts the total magnetization at 0.007 μB per cell.

2.
The following is a GGA-PBE calculation of a relaxed RbZnAsO crystal, from the Open Quantum Materials Database.

The space group is Pmc2_1 (No. 26) and the conventional cell measures 3.1106, 8.8627 and 6.5990 Å, with angles of 90.00, 90.00 and 90.00 degrees. Symmetry generates all atoms from Rb at (0.0000, 0.1737, 0.0000), Zn at (0.5000, 0.4507, 0.6666), As at (0.0000, 0.2270, 0.4995) and O at (0.5000, 0.4152, 0.9470).

The value obtained for the electronic total energy is -27.28 eV per cell. The relative energy among the computed polymorphs is 293 meV per atom. The calculated density is 4.41 g/cm3.

3.
The following is a GGA-PBE calculation of a relaxed RbZnAsO crystal, from the Open Quantum Materials Database.

The space group is Pmc2_1 (No. 26) and the conventional cell measures 3.2023, 8.9632 and 5.7800 Å, with angles of 90.00, 90.00 and 90.00 degrees. Symmetry generates all atoms from Rb at (0.0000, 0.1545, 0.0000), Zn at (0.5000, 0.2635, 0.4998), As at (0.5000, 0.4957, 0.7650) and O at (0.0000, 0.1472, 0.5003).

The value obtained for the electronic total energy is -29.63 eV per cell. The relative energy among the computed polymorphs is 0 meV per atom. The calculated density is 4.84 g/cm3.

4.
The following is a GGA-PBE calculation of a relaxed RbZnAsO crystal, from the Open Quantum Materials Database.

The space group is P4/nmm (No. 129, origin choice 2) and the conventional cell measures 3.7956, 3.7956 and 12.5101 Å, with angles of 90.00, 90.00 and 90.00 degrees. Symmetry generates all atoms from Rb at (0.2500, 0.2500, 0.1544), Zn at (0.2500, 0.7500, 0.5000), As at (0.2500, 0.2500, 0.6360) and O at (0.2500, 0.7500, 0.0000).

The value obtained for the electronic total energy is -24.45 eV per cell. The relative energy among the computed polymorphs is 647 meV per atom. The calculated density is 4.46 g/cm3.

Among the records above, which one has the highest electronic total energy? number 4